[1]
This record from the Alexandria database describes a relaxed structure of Er5Pb4. The functional is PBE.

## Properties
* magnetic moment: 0.00 μB/f.u.
* relative energy among the computed polymorphs: 311 meV per atom
* raw total energy: -4.38 eV/atom
* E_form: -0.20 eV/atom

Cell lengths 9.4611, 9.4611, 6.1726 Å; angles 90.00, 90.00, 90.00 degrees
With the nearest neighbours (Å) after each atom.
Space group I4/m (No. 87)
Unique sites:
Er  0.0000  0.0000  0.0000 (multiplicity 2)  4 Pb 3.12
Er  0.1059  0.2517  0.5000 (multiplicity 8)  5 Pb 3.11-3.17
Pb  0.0737  0.3211  0.0000 (multiplicity 8)  6 Er 3.11-3.17

[2]
This record from the Alexandria database describes a relaxed structure of Er8Pb. The functional is PBE.

## Properties
* magnetic moment: 0.00 μB/f.u.
* raw total energy: -4.56 eV/atom
* E_form: -0.09 eV/atom

Cell lengths 10.5950, 10.5950, 4.7992 Å; angles 90.00, 90.00, 90.00 degrees
With the nearest neighbours (Å) after each atom.
Space group I4/mmm (No. 139)
Unique sites:
Er  0.0000  0.3373  0.0000 (multiplicity 8)  11 Er 3.42-3.57, 1 Pb 3.57
Er  0.1632  0.1632  0.5000 (multiplicity 8)  2 Pb 3.43, 10 Er 3.46-3.57
Pb  0.0000  0.0000  0.0000 (multiplicity 2)  12 Er 3.43-3.57

[3]
This record from the Alexandria database describes a relaxed structure of ErPb5. The functional is PBE.

## Properties
* magnetic moment: 0.00 μB/f.u.
* relative energy among the computed polymorphs: 25 meV per atom
* raw total energy: -3.95 eV/atom
* E_form: -0.10 eV/atom

Cell lengths 6.0465, 10.5929, 5.9504 Å; angles 90.00, 108.97, 90.00 degrees
With the nearest neighbours (Å) after each atom.
Space group C2/m (No. 12)
Unique sites:
Er  0.0000  0.0000  0.0000 (multiplicity 2)  12 Pb 3.43-3.53
Pb  0.0000  0.1602  0.5000 (multiplicity 4)  10 Pb 3.39-3.60, 2 Er 3.43
Pb  0.0000  0.3284  0.0000 (multiplicity 4)  9 Pb 3.45-3.64, 3 Er 3.48-3.53
Pb  0.0000  0.5000  0.5000 (multiplicity 2)  10 Pb 3.47-3.60, 2 Er 3.48

[4]
This record from the Alexandria database describes a relaxed structure of ErPb. The functional is PBE.

## Properties
* magnetic moment: 0.00 μB/f.u.
* raw total energy: -4.43 eV/atom
* E_form: -0.29 eV/atom

Cell lengths 6.2529, 6.2529, 6.2529 Å; angles 90.00, 90.00, 90.00 degrees
With the nearest neighbours (Å) after each atom.
Space group Fm-3m (No. 225)
Unique sites:
Er  0.0000  0.0000  0.0000 (multiplicity 4)  6 Pb 3.13
Pb  0.0000  0.0000  0.5000 (multiplicity 4)  6 Er 3.13